{"formula": "Na2Co2O3", "functional": "PBE with a Hubbard U", "state": "optimized geometry", "lattice": [[5.908, 0.000, 0.000], [0.000, 5.901, 0.000], [-2.944, 0.000, 5.316]], "species": ["Na", "Na", "Na", "Na", "Co", "Co", "Co", "Co", "O", "O", "O", "O", "O", "O"], "fractional_positions": [[0.137, 0.152, 0.404], [0.137, 0.348, 0.904], [0.863, 0.652, 0.096], [0.863, 0.848, 0.596], [0.340, 0.623, 0.582], [0.340, 0.877, 0.082], [0.660, 0.123, 0.918], [0.660, 0.377, 0.418], [0.000, 0.000, 0.000], [0.000, 0.500, 0.500], [0.357, 0.589, 0.252], [0.357, 0.911, 0.752], [0.643, 0.089, 0.248], [0.643, 0.411, 0.748]], "energy_ev_per_cell": -71.77, "volume_a3_per_fu": 92.7, "de_polymorph_ev_per_atom": 0.000, "m_tot_mub_per_cell": 11.99, "space_group": "No. 14"}